1.
Material: AgMo
Method: DFT, GGA-PBE
State: relaxed

Lattice parameters (Å, degrees): 3.2255 3.2255 3.2255 90.00 90.00 90.00
Closest atoms and distances in Å follow each position.
Fractional positions:
Ag 0.0000 0.0000 0.0000  8 Mo 2.79
Mo 0.5000 0.5000 0.5000  8 Ag 2.79

## Properties
offset from the most stable computed form = 16.458 kcal/mol of atoms
magnetization = 0.011 μB/f.u.
energy of formation from the pure elements = 0.9779 eV per atom
D(E_F) = 3.2 states/eV/f.u.
E = -11.73 eV per cell
symmetry = No. 221

2.
Material: AgMo
Method: DFT, GGA-PBE
State: relaxed

Lattice parameters (Å, degrees): 2.7991 2.7991 9.9022 90.00 90.00 120.00
Closest atoms and distances in Å follow each position.
Fractional positions:
Ag 0.3333 0.6667 0.3724  9 Ag 2.80-3.00, 3 Mo 2.97
Ag 0.6667 0.3333 0.6276  9 Ag 2.80-3.00, 3 Mo 2.97
Mo 0.3333 0.6667 0.8795  9 Mo 2.80-2.88, 3 Ag 2.97
Mo 0.6667 0.3333 0.1205  9 Mo 2.80-2.88, 3 Ag 2.97

## Properties
offset from the most stable computed form = 2.586 kcal/mol of atoms
magnetization = 0.000 μB/f.u.
energy of formation from the pure elements = 0.3763 eV per atom
D(E_F) = 1.8 states/eV/f.u.
E = -25.86 eV per cell
symmetry = No. 164